First-principles (meta-GGA SCAN) data for a PBEsol-optimized structure of SbSeI3, as listed in Alexandria.

Summary:
* uncorrected formation energy: 1.7 eV/f.u.
* calculated total energy: -165.9 eV/f.u.

Cell: 5.871 5.871 5.871 Å, 90.00 90.00 90.00°
Each line ends with the local moment (μB).
Positions (direct):
I (0.000, 0.500, 0.000)  0.06
I (0.000, 0.000, 0.500)  0.06
I (0.500, 0.000, 0.000)  0.06
Sb (0.000, 0.000, 0.000)  -0.04
Se (0.500, 0.500, 0.500)  1.14